No. 1
Compound: SrBi3Os
Source: Alexandria via LeMat-Bulk
Functional: PBE-GGA
Structure: relaxed

a = 5.451 Å, b = 5.451 Å, c = 5.451 Å
α = 90.00°, β = 90.00°, γ = 90.00°
Space group Pm-3m (No. 221)
Asymmetric unit:
Sr  0.000  0.000  0.000 [1 per cell]
Bi  0.000  0.500  0.500 [3 per cell]
Os  0.500  0.500  0.500 [1 per cell]

Formation enthalpy at 0 K ... 161 kJ/mol of formula units
Distance to the lowest polymorph of the same formula ... 0 meV/atom

***

No. 2
Compound: AgPbSe2
Source: Alexandria via LeMat-Bulk
Functional: PBE-GGA
Structure: relaxed

a = 7.085 Å, b = 4.094 Å, c = 6.940 Å
α = 90.00°, β = 90.08°, γ = 90.00°
Space group C2/m (No. 12)
Asymmetric unit:
Ag  0.000  0.000  0.000 [2 per cell]
Pb  0.000  0.000  0.500 [2 per cell]
Se  0.167  0.500  0.777 [4 per cell]

ΔE_f (raw) ... -0.222 eV/atom

***

No. 3
Compound: LaZrPb
Source: Alexandria via LeMat-Bulk
Functional: PBE-GGA
Structure: relaxed

a = 4.480 Å, b = 4.480 Å, c = 17.720 Å
α = 90.00°, β = 90.00°, γ = 90.00°
Space group I4/mmm (No. 139)
Asymmetric unit:
La  0.000  0.000  0.177 [4 per cell]
Zr  0.000  0.500  0.000 [4 per cell]
Pb  0.000  0.000  0.376 [4 per cell]

Formation enthalpy at 0 K ... -109 kJ/mol of formula units
Distance to the lowest polymorph of the same formula ... 0 meV/atom

***

DOS(E_F) (computed, states/eV per atom): 0.990; 0.484; 1.142
DFT total energy (computed, eV/atom): -4.5777; -3.6037; -6.1056